# HoBeGaPt3, optimized geometry, DFT PBE-GGA
data_HoBeGaPt3
_chemical_formula_sum 'Ho2 Be2 Ga2 Pt6'
_symmetry_space_group_name_H-M 'P 1'
_symmetry_Int_Tables_number 1
_cell_length_a 5.4725
_cell_length_b 6.8475
_cell_length_c 6.7098
_cell_angle_alpha 120.68
_cell_angle_beta 90.00
_cell_angle_gamma 90.00
loop_
_symmetry_equiv_pos_as_xyz
'x,y,z'
loop_
_atom_site_label
_atom_site_fract_x
_atom_site_fract_y
_atom_site_fract_z
Ho1 0.7500 0.3015 0.6030
Ho2 0.2500 0.6985 0.3970
Be1 0.2500 0.3828 0.7657
Be2 0.7500 0.6172 0.2343
Ga1 0.2500 0.9573 0.9146
Ga2 0.7500 0.0427 0.0854
Pt1 0.2500 0.1894 0.3789
Pt2 0.0000 0.2996 0.0000
Pt3 0.5000 0.7004 0.0000
Pt4 0.5000 0.2996 0.0000
Pt5 0.0000 0.7004 0.0000
Pt6 0.7500 0.8106 0.6211
# Total DFT energy (no corrections) ... -5.60 eV/atom
# Formation energy ... -0.694 eV per atom
# Total moment ... 0.000 Bohr magnetons per cell
# Space-group type ... Cmcm, No. 63


# Ho2Be2GaRh5, optimized geometry, DFT PBE-GGA
data_Ho2Be2GaRh5
_chemical_formula_sum 'Ho4 Be4 Ga2 Rh10'
_symmetry_space_group_name_H-M 'P 1'
_symmetry_Int_Tables_number 1
_cell_length_a 3.2011
_cell_length_b 9.6258
_cell_length_c 9.6258
_cell_angle_alpha 90.00
_cell_angle_beta 90.00
_cell_angle_gamma 90.00
loop_
_symmetry_equiv_pos_as_xyz
'x,y,z'
loop_
_atom_site_label
_atom_site_fract_x
_atom_site_fract_y
_atom_site_fract_z
Ho1 0.0000 0.6763 0.1763
Ho2 0.0000 0.3237 0.8237
Ho3 0.0000 0.1763 0.3237
Ho4 0.0000 0.8237 0.6763
Be1 0.0000 0.1224 0.6224
Be2 0.0000 0.8776 0.3776
Be3 0.0000 0.6224 0.8776
Be4 0.0000 0.3776 0.1224
Ga1 0.0000 0.0000 0.0000
Ga2 0.0000 0.5000 0.5000
Rh1 0.5000 0.2107 0.0668
Rh2 0.5000 0.7893 0.9332
Rh3 0.5000 0.0668 0.7893
Rh4 0.5000 0.7107 0.4332
Rh5 0.5000 0.9332 0.2107
Rh6 0.5000 0.2893 0.5668
Rh7 0.5000 0.5668 0.7107
Rh8 0.5000 0.4332 0.2893
Rh9 0.5000 0.5000 0.0000
Rh10 0.5000 0.0000 0.5000
# Total DFT energy (no corrections) ... -6.47 eV/atom
# Formation energy ... -0.829 eV per atom
# Total moment ... 0.000 Bohr magnetons per cell
# Space-group type ... P4/mbm, No. 127


# SmHoBeGa, optimized geometry, DFT PBE-GGA
data_SmHoBeGa
_chemical_formula_sum 'Sm1 Ho1 Be1 Ga1'
_symmetry_space_group_name_H-M 'P 1'
_symmetry_Int_Tables_number 1
_cell_length_a 4.9918
_cell_length_b 4.9918
_cell_length_c 4.9918
_cell_angle_alpha 60.00
_cell_angle_beta 60.00
_cell_angle_gamma 60.00
loop_
_symmetry_equiv_pos_as_xyz
'x,y,z'
loop_
_atom_site_label
_atom_site_fract_x
_atom_site_fract_y
_atom_site_fract_z
Be1 0.7500 0.7500 0.7500
Ga1 0.2500 0.2500 0.2500
Ho1 0.0000 0.0000 0.0000
Sm1 0.5000 0.5000 0.5000
# Total DFT energy (no corrections) ... -4.23 eV/atom
# Formation energy ... -0.213 eV per atom
# Total moment ... 0.000 Bohr magnetons per cell
# Space-group type ... F-43m, No. 216


# TbHoBeGa, optimized geometry, DFT PBE-GGA
data_TbHoBeGa
_chemical_formula_sum 'Tb1 Ho1 Be1 Ga1'
_symmetry_space_group_name_H-M 'P 1'
_symmetry_Int_Tables_number 1
_cell_length_a 4.9435
_cell_length_b 4.9435
_cell_length_c 4.9435
_cell_angle_alpha 60.00
_cell_angle_beta 60.00
_cell_angle_gamma 60.00
loop_
_symmetry_equiv_pos_as_xyz
'x,y,z'
loop_
_atom_site_label
_atom_site_fract_x
_atom_site_fract_y
_atom_site_fract_z
Be1 0.7500 0.7500 0.7500
Tb1 0.0000 0.0000 0.0000
Ho1 0.5000 0.5000 0.5000
Ga1 0.2500 0.2500 0.2500
# Total DFT energy (no corrections) ... -4.23 eV/atom
# Formation energy ... -0.239 eV per atom
# Total moment ... 0.000 Bohr magnetons per cell
# Space-group type ... F-43m, No. 216


# HoTmBeGa, optimized geometry, DFT PBE-GGA
data_HoTmBeGa
_chemical_formula_sum 'Ho1 Tm1 Be1 Ga1'
_symmetry_space_group_name_H-M 'P 1'
_symmetry_Int_Tables_number 1
_cell_length_a 4.8919
_cell_length_b 4.8919
_cell_length_c 4.8919
_cell_angle_alpha 60.00
_cell_angle_beta 60.00
_cell_angle_gamma 60.00
loop_
_symmetry_equiv_pos_as_xyz
'x,y,z'
loop_
_atom_site_label
_atom_site_fract_x
_atom_site_fract_y
_atom_site_fract_z
Be1 0.7500 0.7500 0.7500
Tm1 0.5000 0.5000 0.5000
Ho1 0.0000 0.0000 0.0000
Ga1 0.2500 0.2500 0.2500
# Total DFT energy (no corrections) ... -4.20 eV/atom
# Formation energy ... -0.250 eV per atom
# Total moment ... 0.000 Bohr magnetons per cell
# Space-group type ... F-43m, No. 216


# Be3GaI, optimized geometry, DFT PBE-GGA
data_Be3GaI
_chemical_formula_sum 'Be3 Ga1 I1'
_symmetry_space_group_name_H-M 'P 1'
_symmetry_Int_Tables_number 1
_cell_length_a 4.7977
_cell_length_b 4.7977
_cell_length_c 4.7977
_cell_angle_alpha 90.00
_cell_angle_beta 90.00
_cell_angle_gamma 90.00
loop_
_symmetry_equiv_pos_as_xyz
'x,y,z'
loop_
_atom_site_label
_atom_site_fract_x
_atom_site_fract_y
_atom_site_fract_z
I1 0.0000 0.0000 0.0000
Be1 0.0000 0.5000 0.0000
Be2 0.0000 0.0000 0.5000
Be3 0.5000 0.0000 0.0000
Ga1 0.5000 0.5000 0.5000
# Total DFT energy (no corrections) ... -1.50 eV/atom
# Total moment ... 0.000 Bohr magnetons per cell
# Space-group type ... Pm-3m, No. 221
# Offset from the most stable computed form ... 0.889 eV per atom